No. 1
A geometry-optimized LiNb2Te4Cl10O structure, computed with PBE-GGA.

The structure in POSCAR format:
```
LiNb2Te4Cl10O
1.0
-7.273 0.272 -0.194
2.170 8.722 0.093
-0.256 -1.514 -9.142
O Cl Nb Li Te
1 10 2 1 4
Direct
0.506 0.497 0.496
0.652 0.531 0.177
0.266 0.170 0.527
0.745 0.824 0.466
0.187 0.481 0.259
0.435 0.848 0.229
0.577 0.147 0.763
0.288 0.760 0.558
0.824 0.513 0.733
0.359 0.464 0.815
0.724 0.234 0.434
0.472 0.635 0.369
0.540 0.359 0.623
0.506 0.997 0.496
0.179 0.115 0.147
0.915 0.182 0.977
0.833 0.879 0.845
0.096 0.813 0.015
```

Summary:
**Magnetic moment**: 1.1 μB/cell
**Energy relative to the elements, uncorrected**: -1880 kJ/mol of formula units
**E above lowest polymorph**: 0.006 eV per atom
**Space-group type**: No. 2

No. 2
A geometry-optimized LiNb2Te4Cl10O structure, computed with PBE-GGA.

The structure in POSCAR format:
```
LiNb2Te4Cl10O
1.0
7.709 -0.109 -0.396
2.025 6.573 -0.651
-0.413 0.492 11.705
Cl Te Li O Nb
10 4 1 1 2
Direct
0.388 0.359 0.735
0.296 0.202 0.413
0.255 0.851 0.658
0.686 0.832 0.610
0.415 0.298 0.155
0.590 0.699 0.870
0.828 0.339 0.687
0.741 0.156 0.371
0.181 0.675 0.332
0.612 0.648 0.289
0.930 0.777 0.077
0.827 0.010 0.889
0.177 0.987 0.148
0.074 0.221 0.959
0.399 0.085 0.597
0.502 0.504 0.512
0.542 0.588 0.668
0.474 0.418 0.352
```

Summary:
**Magnetic moment**: 0.6 μB/cell
**Energy relative to the elements, uncorrected**: -1890 kJ/mol of formula units
**E above lowest polymorph**: 0.000 eV per atom
**Space-group type**: No. 1

No. 3
A geometry-optimized LiNb2Te4Cl10O structure, computed with PBE-GGA.

The structure in POSCAR format:
```
LiNb2Te4Cl10O
1.0
-7.276 0.031 0.032
1.939 8.691 0.022
-0.127 -1.208 -9.494
Cl Te O Li Nb
10 4 1 1 2
Direct
0.702 0.222 0.469
0.751 0.789 0.447
0.807 0.545 0.712
0.574 0.194 0.811
0.432 0.814 0.201
0.607 0.485 0.184
0.235 0.180 0.562
0.152 0.472 0.286
0.309 0.768 0.543
0.364 0.501 0.801
0.941 0.210 0.023
0.190 0.088 0.166
0.889 0.954 0.824
0.113 0.820 0.981
0.487 0.489 0.497
0.554 0.693 0.672
0.459 0.622 0.358
0.523 0.345 0.628
```

Summary:
**Magnetic moment**: 1.1 μB/cell
**Energy relative to the elements, uncorrected**: -1835 kJ/mol of formula units
**E above lowest polymorph**: 0.032 eV per atom
**Space-group type**: No. 1

No. 4
A geometry-optimized LiNbP2Cl structure, computed with PBE-GGA.

The structure in POSCAR format:
```
LiNbP2Cl
1.0
4.373 0.000 0.000
0.000 4.373 0.000
0.000 0.000 4.256
Li Nb Cl P
1 1 1 2
Direct
0.000 0.000 0.000
0.500 0.500 0.500
0.000 0.000 0.500
0.000 0.500 0.000
0.500 0.000 0.000
```

Summary:
**Magnetic moment**: 0.0 μB/cell
**Energy relative to the elements, uncorrected**: 283 kJ/mol of formula units
**E above lowest polymorph**: 0.837 eV per atom
**Space-group type**: No. 123

No. 5
A geometry-optimized LiNbP2Cl structure, computed with PBE-GGA.

The structure in POSCAR format:
```
LiNbP2Cl
1.0
-1.659 -4.146 -1.785
4.374 -1.946 0.455
-1.190 -1.566 4.744
P Nb Cl Li
2 1 1 1
Direct
0.500 0.000 0.000
0.000 0.500 0.000
0.000 0.000 0.000
0.000 0.000 0.500
0.500 0.500 0.500
```

Summary:
**Magnetic moment**: 0.0 μB/cell
**Energy relative to the elements, uncorrected**: -121 kJ/mol of formula units
**E above lowest polymorph**: 0.000 eV per atom
**Space-group type**: No. 123

No. 6
A geometry-optimized LiNbTePdCl structure, computed with PBE-GGA.

The structure in POSCAR format:
```
LiNbTePdCl
1.0
8.183 0.000 -0.100
0.000 4.302 0.000
-2.113 0.000 7.139
Nb Pd Cl Te Li
2 2 2 2 2
Direct
0.844 0.000 0.757
0.844 0.500 0.257
0.761 0.500 0.563
0.761 0.000 0.063
0.164 0.500 0.360
0.164 0.000 0.860
0.603 0.500 0.845
0.603 0.000 0.345
0.112 0.500 0.010
0.112 0.000 0.510
```

Summary:
**Magnetic moment**: 2.0 μB/cell
**Energy relative to the elements, uncorrected**: -266 kJ/mol of formula units
**E above lowest polymorph**: 0.098 eV per atom
**Space-group type**: No. 8

No. 7
A geometry-optimized LiNbTePdCl structure, computed with PBE-GGA.

The structure in POSCAR format:
```
LiNbTePdCl
1.0
4.361 0.000 0.000
-2.181 3.777 0.000
0.000 0.000 21.940
Nb Li Te Cl Pd
3 3 3 3 3
Direct
0.000 0.000 0.992
0.667 0.333 0.325
0.333 0.667 0.658
0.000 0.000 0.556
0.333 0.667 0.223
0.667 0.333 0.889
0.000 0.000 0.407
0.667 0.333 0.741
0.333 0.667 0.074
0.667 0.333 0.212
0.000 0.000 0.879
0.333 0.667 0.546
0.000 0.000 0.685
0.667 0.333 0.018
0.333 0.667 0.351
```

Summary:
**Magnetic moment**: 3.0 μB/cell
**Energy relative to the elements, uncorrected**: -291 kJ/mol of formula units
**E above lowest polymorph**: 0.045 eV per atom
**Space-group type**: No. 160

No. 8
A geometry-optimized LiNbTePdCl structure, computed with PBE-GGA.

The structure in POSCAR format:
```
LiNbTePdCl
1.0
3.275 0.000 0.000
0.000 3.275 0.000
0.000 0.000 19.307
Cl Te Li Pd Nb
2 2 2 2 2
Direct
0.500 0.500 0.970
0.000 0.000 0.470
0.500 0.500 0.286
0.000 0.000 0.786
0.000 0.000 0.946
0.500 0.500 0.446
0.500 0.500 0.111
0.000 0.000 0.611
0.500 0.500 0.698
0.000 0.000 0.198
```

Summary:
**Magnetic moment**: 0.0 μB/cell
**Energy relative to the elements, uncorrected**: -305 kJ/mol of formula units
**E above lowest polymorph**: 0.017 eV per atom
**Space-group type**: No. 107

No. 9
A geometry-optimized LiNbTePdCl structure, computed with PBE-GGA.

The structure in POSCAR format:
```
LiNbTePdCl
1.0
7.352 0.000 0.003
0.000 3.480 0.000
-2.693 0.000 8.744
Te Nb Pd Cl Li
2 2 2 2 2
Direct
0.526 0.500 0.232
0.526 0.000 0.732
0.818 0.000 0.377
0.818 0.500 0.877
0.693 0.000 0.060
0.693 0.500 0.560
0.096 0.500 0.402
0.096 0.000 0.902
0.351 0.500 0.912
0.351 0.000 0.412
```

Summary:
**Magnetic moment**: 0.7 μB/cell
**Energy relative to the elements, uncorrected**: -242 kJ/mol of formula units
**E above lowest polymorph**: 0.148 eV per atom
**Space-group type**: No. 8

No. 10
A geometry-optimized LiNbTePdCl structure, computed with PBE-GGA.

The structure in POSCAR format:
```
LiNbTePdCl
1.0
4.105 0.000 -0.001
0.000 3.520 0.000
-2.034 0.000 7.724
Nb Cl Pd Li Te
1 1 1 1 1
Direct
0.078 0.500 0.841
0.247 0.500 0.168
0.549 0.000 0.783
0.706 0.000 0.135
0.937 0.000 0.557
```

Summary:
**Magnetic moment**: 0.0 μB/cell
**Energy relative to the elements, uncorrected**: -300 kJ/mol of formula units
**E above lowest polymorph**: 0.028 eV per atom
**Space-group type**: No. 6

No. 11
A geometry-optimized LiNbTePdCl structure, computed with PBE-GGA.

The structure in POSCAR format:
```
LiNbTePdCl
1.0
3.651 0.000 0.000
-1.825 3.162 0.000
0.000 0.000 9.467
Te Pd Nb Cl Li
1 1 1 1 1
Direct
0.000 0.000 0.508
0.667 0.333 0.875
0.333 0.667 0.710
0.667 0.333 0.143
0.333 0.667 0.248
```

Summary:
**Magnetic moment**: 0.0 μB/cell
**Energy relative to the elements, uncorrected**: -295 kJ/mol of formula units
**E above lowest polymorph**: 0.037 eV per atom
**Space-group type**: No. 156

No. 12
A geometry-optimized LiNbTePdCl structure, computed with PBE-GGA.

The structure in POSCAR format:
```
LiNbTePdCl
1.0
-1.188 2.702 -1.228
-2.866 -0.592 1.470
5.080 3.993 7.909
Nb Cl Pd Te Li
1 1 1 1 1
Direct
0.180 0.882 0.264
0.468 0.166 0.825
0.598 0.298 0.093
0.768 0.471 0.445
0.999 0.697 0.888
```

Summary:
**Magnetic moment**: 0.0 μB/cell
**Energy relative to the elements, uncorrected**: -313 kJ/mol of formula units
**E above lowest polymorph**: 0.000 eV per atom
**Space-group type**: No. 1